(1)
{"formula": "CdPb2W", "functional": "PBE", "state": "relaxed", "dft_energy_ev_per_atom": -4.4255, "vol_a3_per_atom": 23.2, "magmom_total_mub_per_atom": 0.000, "density_kg_m3": 12739, "ef_ev_per_atom": 0.896, "lattice_angstrom": [[3.694, -4.045, 0.000], [3.694, 4.045, 0.000], [0.000, 0.000, 3.100]], "species": ["Cd", "Pb", "Pb", "W"], "fractional_positions": [[0.000, 0.000, 0.000], [0.000, 0.500, 0.500], [0.500, 0.000, 0.500], [0.500, 0.500, 0.000]]}


(2)
{"formula": "SmEuYMg", "functional": "PBE", "state": "relaxed", "dft_energy_ev_per_atom": -5.7006, "vol_a3_per_atom": 31.6, "magmom_total_mub_per_atom": 1.773, "density_kg_m3": 5451, "ef_ev_per_atom": 0.062, "lattice_angstrom": [[0.000, 3.985, 3.985], [3.985, 0.000, 3.985], [3.985, 3.985, 0.000]], "species": ["Sm", "Eu", "Y", "Mg"], "fractional_positions": [[0.000, 0.000, 0.000], [0.250, 0.250, 0.250], [0.500, 0.500, 0.500], [0.750, 0.750, 0.750]]}


(3)
{"formula": "LaPr12Er2", "functional": "PBE", "state": "relaxed", "dft_energy_ev_per_atom": -4.4624, "vol_a3_per_atom": 37.8, "magmom_total_mub_per_atom": 0.000, "density_kg_m3": 6332, "ef_ev_per_atom": 0.298, "lattice_angstrom": [[6.604, 0.000, 0.000], [0.000, 6.604, 0.000], [0.000, 0.000, 26.025]], "species": ["La", "La", "Pr", "Pr", "Pr", "Pr", "Pr", "Pr", "Pr", "Pr", "Pr", "Pr", "Pr", "Pr", "Pr", "Pr", "Pr", "Pr", "Pr", "Pr", "Pr", "Pr", "Pr", "Pr", "Pr", "Pr", "Er", "Er", "Er", "Er"], "fractional_positions": [[0.250, 0.750, 0.000], [0.750, 0.250, 0.000], [0.068, 0.568, 0.116], [0.068, 0.932, 0.884], [0.081, 0.581, 0.438], [0.081, 0.919, 0.562], [0.250, 0.250, 0.217], [0.250, 0.250, 0.338], [0.250, 0.250, 0.662], [0.250, 0.250, 0.783], [0.419, 0.581, 0.562], [0.419, 0.919, 0.438], [0.432, 0.568, 0.884], [0.432, 0.932, 0.116], [0.568, 0.068, 0.884], [0.568, 0.432, 0.116], [0.581, 0.081, 0.562], [0.581, 0.419, 0.438], [0.750, 0.750, 0.217], [0.750, 0.750, 0.338], [0.750, 0.750, 0.662], [0.750, 0.750, 0.783], [0.919, 0.081, 0.438], [0.919, 0.419, 0.562], [0.932, 0.068, 0.116], [0.932, 0.432, 0.884], [0.250, 0.750, 0.275], [0.250, 0.750, 0.725], [0.750, 0.250, 0.275], [0.750, 0.250, 0.725]]}